[1]
This record from Alexandria via LeMat-Bulk describes Ac2BeBi after structural relaxation. The functional is PBE.

Cell lengths 4.468, 4.468, 10.821 Å; angles 78.09, 78.09, 60.00 degrees
Atoms (fractional coordinates):
Be1 0.000 0.000 0.000
Ac1 0.099 0.099 0.702
Ac2 0.901 0.901 0.298
Bi1 0.500 0.500 0.500

## Properties
Energy of formation: 0.5089 eV/atom
Energy above the lowest structure with this stoichiometry: 625 meV/atom

=====

[2]
This record from Alexandria via LeMat-Bulk describes Ce3PuP4 after structural relaxation. The functional is PBE.

Cell lengths 5.755, 5.755, 5.755 Å; angles 90.00, 90.00, 90.00 degrees
Site moments in Bohr magnetons follow the coordinates.
Atoms (fractional coordinates):
P1 0.500 0.000 0.000  -0.07
P2 0.000 0.500 0.000  -0.07
P3 0.000 0.000 0.500  -0.07
P4 0.500 0.500 0.500  -0.02
Ce1 0.000 0.500 0.500  0.46
Ce2 0.500 0.000 0.500  0.46
Ce3 0.500 0.500 0.000  0.46
Pu1 0.000 0.000 0.000  5.03

## Properties
Energy of formation: -1.4048 eV/atom
Energy above the lowest structure with this stoichiometry: 10 meV/atom

=====

[3]
This record from Alexandria via LeMat-Bulk describes InAs2Pd8 after structural relaxation. The functional is PBE.

Cell lengths 4.513, 6.740, 6.740 Å; angles 112.09, 99.10, 99.10 degrees
Atoms (fractional coordinates):
In1 0.500 0.000 0.000
As1 0.000 0.322 0.678
As2 0.000 0.678 0.322
Pd1 0.907 0.932 0.679
Pd2 0.907 0.679 0.932
Pd3 0.323 0.620 0.620
Pd4 0.500 0.758 0.242
Pd5 0.500 0.242 0.758
Pd6 0.677 0.380 0.380
Pd7 0.093 0.321 0.068
Pd8 0.093 0.068 0.321

## Properties
Energy of formation: -0.3779 eV/atom
Energy above the lowest structure with this stoichiometry: 15 meV/atom

=====

[4]
This record from Alexandria via LeMat-Bulk describes YEr3Cd4 after structural relaxation. The functional is PBE.

Cell lengths 5.243, 7.501, 10.487 Å; angles 90.00, 90.00, 90.00 degrees
Atoms (fractional coordinates):
Y1 0.000 0.500 0.000
Y2 0.000 0.500 0.500
Cd1 0.500 0.752 0.000
Cd2 0.500 0.752 0.500
Cd3 0.500 0.248 0.000
Cd4 0.500 0.248 0.500
Cd5 0.000 0.752 0.750
Cd6 0.000 0.752 0.250
Cd7 0.000 0.248 0.250
Cd8 0.000 0.248 0.750
Er1 0.000 0.000 0.000
Er2 0.000 0.000 0.500
Er3 0.500 0.000 0.750
Er4 0.500 0.000 0.250
Er5 0.500 0.500 0.750
Er6 0.500 0.500 0.250

## Properties
Energy of formation: -0.3263 eV/atom

=====

[5]
This record from Alexandria via LeMat-Bulk describes VNi6Pd after structural relaxation. The functional is PBE.

Cell lengths 3.509, 5.157, 5.157 Å; angles 90.01, 90.00, 90.00 degrees
Site moments in Bohr magnetons follow the coordinates.
Atoms (fractional coordinates):
V1 0.500 0.000 0.000  -0.20
Ni1 0.000 0.759 0.241  0.18
Ni2 0.000 0.241 0.759  0.18
Ni3 0.000 0.759 0.759  0.18
Ni4 0.000 0.241 0.241  0.18
Ni5 0.500 0.500 0.000  0.22
Ni6 0.500 0.000 0.500  0.22
Pd1 0.500 0.500 0.500  0.07

## Properties
Energy of formation: -0.0963 eV/atom
Energy above the lowest structure with this stoichiometry: 0 meV/atom

=====

[6]
This record from Alexandria via LeMat-Bulk describes CaIn6Hg2 after structural relaxation. The functional is PBE.

Cell lengths 4.804, 5.441, 11.432 Å; angles 65.12, 77.87, 63.80 degrees
Atoms (fractional coordinates):
Ca1 0.000 0.000 0.000
In1 0.651 0.521 0.176
In2 0.349 0.479 0.824
In3 0.342 0.793 0.524
In4 0.971 0.725 0.334
In5 0.029 0.275 0.666
In6 0.658 0.207 0.476
Hg1 0.331 0.191 0.147
Hg2 0.669 0.809 0.853

## Properties
Energy of formation: -0.1304 eV/atom
Energy above the lowest structure with this stoichiometry: 0 meV/atom

=====

[7]
This record from Alexandria via LeMat-Bulk describes CaLaNO2 after structural relaxation. The functional is PBE.

Cell lengths 4.500, 4.500, 4.412 Å; angles 90.00, 90.00, 90.00 degrees
Site moments in Bohr magnetons follow the coordinates.
Atoms (fractional coordinates):
Ca1 0.500 0.500 0.500  0.00
N1 0.000 0.000 0.500  0.12
O1 0.000 0.500 0.000  0.05
O2 0.500 0.000 0.000  0.05
La1 0.000 0.000 0.000  -0.01

## Properties
E_form (uncorrected): -1320 meV/atom

=====

[8]
This record from Alexandria via LeMat-Bulk describes Sr2Se3 after structural relaxation. The functional is PBE.

Cell lengths 5.376, 5.376, 6.307 Å; angles 90.00, 90.00, 120.00 degrees
Site moments in Bohr magnetons follow the coordinates.
Atoms (fractional coordinates):
Sr1 0.667 0.333 0.225  0.01
Sr2 0.333 0.667 0.775  0.01
Se1 0.000 0.000 0.000  0.41
Se2 0.667 0.333 0.719  0.22
Se3 0.333 0.667 0.281  0.22

## Properties
E_form (uncorrected): -1299 meV/atom